1.
Here is a relaxed ZrCd2Pd crystal from Alexandria via LeMat-Bulk. Energies are from GGA-PBE.

```
data_ZrCd2Pd
_cell_length_a 3.0985
_cell_length_b 3.0985
_cell_length_c 28.9468
_cell_angle_alpha 90.00
_cell_angle_beta 90.00
_cell_angle_gamma 120.00
_symmetry_space_group_name_H-M 'R 3 m'
_symmetry_Int_Tables_number 160
_symmetry_space_group_name_Hall 'R 3 -2"'
loop_
_atom_site_label
_atom_site_type_symbol
_atom_site_fract_x
_atom_site_fract_y
_atom_site_fract_z
Zr1 Zr 0.0000 0.0000 0.0000
Cd1 Cd 0.0000 0.0000 0.5759
Cd2 Cd 0.0000 0.0000 0.7578
Pd1 Pd 0.0000 0.0000 0.1671
```

Summary:
DFT formation energy   -0.53 eV per formula unit
DFT total energy   -4.02 eV/atom
Crystal system   trigonal



2.
Here is a relaxed KCu2Sb crystal from Alexandria via LeMat-Bulk. Energies are from GGA-PBE.

```
data_KCu2Sb
_cell_length_a 4.5106
_cell_length_b 4.5106
_cell_length_c 17.8429
_cell_angle_alpha 90.00
_cell_angle_beta 90.00
_cell_angle_gamma 120.00
_symmetry_space_group_name_H-M 'R -3 m'
_symmetry_Int_Tables_number 166
_symmetry_space_group_name_Hall '-R 3 2"'
loop_
_atom_site_label
_atom_site_type_symbol
_atom_site_fract_x
_atom_site_fract_y
_atom_site_fract_z
K1 K 0.0000 0.0000 0.0000
Cu1 Cu 0.0000 0.0000 0.1799
Sb1 Sb 0.0000 0.0000 0.5000
```

Summary:
DFT total energy   -3.45 eV/atom
Crystal system   trigonal



3.
Here is a relaxed Ba4ReAs crystal from Alexandria via LeMat-Bulk. Energies are from GGA-PBE.

```
data_Ba4ReAs
_cell_length_a 9.753
_cell_length_b 9.753
_cell_length_c 9.753
_cell_angle_alpha 90.00
_cell_angle_beta 90.00
_cell_angle_gamma 90.00
_symmetry_space_group_name_H-M 'F -4 3 m'
_symmetry_Int_Tables_number 216
_symmetry_space_group_name_Hall 'F -4 2 3'
loop_
_atom_site_label
_atom_site_type_symbol
_atom_site_fract_x
_atom_site_fract_y
_atom_site_fract_z
Ba1 Ba 0.125 0.125 0.125
Re1 Re 0.000 0.000 0.500
As1 As 0.250 0.250 0.750
```

Summary:
DFT formation energy   6.83 eV per formula unit
DFT total energy   -2.99 eV/atom
Crystal system   cubic



4.
Here is a relaxed FeAgPBr2 crystal from Alexandria via LeMat-Bulk. Energies are from GGA-PBE.

```
data_FeAgPBr2
_cell_length_a 5.281
_cell_length_b 5.281
_cell_length_c 4.779
_cell_angle_alpha 90.00
_cell_angle_beta 90.00
_cell_angle_gamma 90.00
_symmetry_space_group_name_H-M 'P 4/m m m'
_symmetry_Int_Tables_number 123
_symmetry_space_group_name_Hall '-P 4 2'
loop_
_atom_site_label
_atom_site_type_symbol
_atom_site_fract_x
_atom_site_fract_y
_atom_site_fract_z
Fe1 Fe 0.000 0.000 0.000
Ag1 Ag 0.500 0.500 0.000
P1 P 0.500 0.500 0.500
Br1 Br 0.000 0.500 0.500
```

Summary:
DFT total energy   -3.24 eV/atom
Crystal system   tetragonal



5.
Here is a relaxed Ca2ZnPd crystal from Alexandria via LeMat-Bulk. Energies are from GGA-PBE.

```
data_Ca2ZnPd
_cell_length_a 7.875
_cell_length_b 7.875
_cell_length_c 6.809
_cell_angle_alpha 90.00
_cell_angle_beta 90.00
_cell_angle_gamma 90.00
_symmetry_space_group_name_H-M 'I -4 2 d'
_symmetry_Int_Tables_number 122
_symmetry_space_group_name_Hall 'I -4 2bw'
loop_
_atom_site_label
_atom_site_type_symbol
_atom_site_fract_x
_atom_site_fract_y
_atom_site_fract_z
Ca1 Ca 0.228 0.250 0.125
Zn1 Zn 0.000 0.000 0.500
Pd1 Pd 0.000 0.000 0.000
```

Summary:
DFT formation energy   -0.64 eV per formula unit
DFT total energy   -2.78 eV/atom
Crystal system   tetragonal



6.
Here is a relaxed LiLaP3 crystal from Alexandria via LeMat-Bulk. Energies are from GGA-PBE.

```
data_LiLaP3
_cell_length_a 4.526
_cell_length_b 4.526
_cell_length_c 4.526
_cell_angle_alpha 90.00
_cell_angle_beta 90.00
_cell_angle_gamma 90.00
_symmetry_space_group_name_H-M 'P m -3 m'
_symmetry_Int_Tables_number 221
_symmetry_space_group_name_Hall '-P 4 2 3'
loop_
_atom_site_label
_atom_site_type_symbol
_atom_site_fract_x
_atom_site_fract_y
_atom_site_fract_z
Li1 Li 0.000 0.000 0.000
La1 La 0.500 0.500 0.500
P1 P 0.000 0.000 0.500
```

Summary:
DFT formation energy   -1.41 eV per formula unit
DFT total energy   -4.90 eV/atom
Crystal system   cubic
ΔE to the lowest computed polymorph   0.000 eV per formula unit



7.
Here is a relaxed LaIn4Sb crystal from Alexandria via LeMat-Bulk. Energies are from GGA-PBE.

```
data_LaIn4Sb
_cell_length_a 8.732
_cell_length_b 8.732
_cell_length_c 8.732
_cell_angle_alpha 90.00
_cell_angle_beta 90.00
_cell_angle_gamma 90.00
_symmetry_space_group_name_H-M 'F -4 3 m'
_symmetry_Int_Tables_number 216
_symmetry_space_group_name_Hall 'F -4 2 3'
loop_
_atom_site_label
_atom_site_type_symbol
_atom_site_fract_x
_atom_site_fract_y
_atom_site_fract_z
La1 La 0.000 0.000 0.000
In1 In 0.125 0.125 0.375
Sb1 Sb 0.250 0.250 0.750
```

Summary:
DFT total energy   -3.50 eV/atom
Crystal system   cubic



8.
Here is a relaxed La2Ga5Co crystal from Alexandria via LeMat-Bulk. Energies are from GGA-PBE.

```
data_La2Ga5Co
_cell_length_a 6.100
_cell_length_b 6.100
_cell_length_c 9.451
_cell_angle_alpha 90.00
_cell_angle_beta 90.00
_cell_angle_gamma 90.00
_symmetry_space_group_name_H-M 'I 4 m m'
_symmetry_Int_Tables_number 107
_symmetry_space_group_name_Hall 'I 4 -2'
loop_
_atom_site_label
_atom_site_type_symbol
_atom_site_fract_x
_atom_site_fract_y
_atom_site_fract_z
La1 La 0.000 0.500 0.000
Ga1 Ga 0.000 0.000 0.461
Ga2 Ga 0.224 0.224 0.250
Co1 Co 0.000 0.000 0.713
```

Summary:
DFT formation energy   -3.51 eV per formula unit
DFT total energy   -4.45 eV/atom
Crystal system   tetragonal



9.
Here is a relaxed FeTeIr2 crystal from Alexandria via LeMat-Bulk. Energies are from GGA-PBE.

```
data_FeTeIr2
_cell_length_a 3.903
_cell_length_b 3.903
_cell_length_c 3.952
_cell_angle_alpha 90.00
_cell_angle_beta 90.00
_cell_angle_gamma 90.00
_symmetry_space_group_name_H-M 'P 4/m m m'
_symmetry_Int_Tables_number 123
_symmetry_space_group_name_Hall '-P 4 2'
loop_
_atom_site_label
_atom_site_type_symbol
_atom_site_fract_x
_atom_site_fract_y
_atom_site_fract_z
Fe1 Fe 0.000 0.000 0.000
Te1 Te 0.500 0.500 0.000
Ir1 Ir 0.000 0.500 0.500
```

Summary:
DFT total energy   -6.94 eV/atom
Crystal system   tetragonal



10.
Here is a relaxed HfNbMo crystal from Alexandria via LeMat-Bulk. Energies are from GGA-PBE.

```
data_HfNbMo
_cell_length_a 4.6132
_cell_length_b 4.6132
_cell_length_c 2.9928
_cell_angle_alpha 90.00
_cell_angle_beta 90.00
_cell_angle_gamma 120.00
_symmetry_space_group_name_H-M 'P 3 m 1'
_symmetry_Int_Tables_number 156
loop_
_symmetry_equiv_pos_as_xyz
'x,y,z'
'-y,x-y,z'
'-x+y,-x,z'
'-y,-x,z'
'-x+y,y,z'
'x,x-y,z'
loop_
_atom_site_label
_atom_site_type_symbol
_atom_site_fract_x
_atom_site_fract_y
_atom_site_fract_z
Hf1 Hf 0.0000 0.0000 0.0000
Nb1 Nb 0.3333 0.6667 0.6068
Mo1 Mo 0.6667 0.3333 0.3365
```

Summary:
DFT formation energy   -0.12 eV per formula unit
DFT total energy   -10.32 eV/atom
Crystal system   trigonal
ΔE to the lowest computed polymorph   0.199 eV per formula unit



11.
Here is a relaxed Ho3Sn2Ge crystal from Alexandria via LeMat-Bulk. Energies are from GGA-PBE.

```
data_Ho3Sn2Ge
_cell_length_a 12.385
_cell_length_b 4.315
_cell_length_c 11.832
_cell_angle_alpha 90.00
_cell_angle_beta 90.00
_cell_angle_gamma 90.00
_symmetry_space_group_name_H-M 'P n m a'
_symmetry_Int_Tables_number 62
loop_
_symmetry_equiv_pos_as_xyz
'x,y,z'
'-x,-y,-z'
'-x+1/2,-y,z+1/2'
'x+1/2,y,-z+1/2'
'x+1/2,-y+1/2,-z+1/2'
'-x+1/2,y+1/2,z+1/2'
'-x,y+1/2,-z'
'x,-y+1/2,z'
loop_
_atom_site_label
_atom_site_type_symbol
_atom_site_fract_x
_atom_site_fract_y
_atom_site_fract_z
Ho1 Ho 0.052 0.250 0.119
Ho2 Ho 0.116 0.750 0.548
Ho3 Ho 0.241 0.250 0.782
Sn1 Sn 0.010 0.250 0.706
Sn2 Sn 0.188 0.750 0.004
Ge1 Ge 0.126 0.250 0.372
```

Summary:
DFT formation energy   -3.83 eV per formula unit
DFT total energy   -5.03 eV/atom
Crystal system   orthorhombic



12.
Here is a relaxed AcLa2Cu crystal from Alexandria via LeMat-Bulk. Energies are from GGA-PBE.

```
data_AcLa2Cu
_cell_length_a 7.372
_cell_length_b 10.637
_cell_length_c 6.721
_cell_angle_alpha 90.00
_cell_angle_beta 90.00
_cell_angle_gamma 90.00
_symmetry_space_group_name_H-M 'P n m a'
_symmetry_Int_Tables_number 62
loop_
_symmetry_equiv_pos_as_xyz
'x,y,z'
'-x,-y,-z'
'-x+1/2,-y,z+1/2'
'x+1/2,y,-z+1/2'
'x+1/2,-y+1/2,-z+1/2'
'-x+1/2,y+1/2,z+1/2'
'-x,y+1/2,-z'
'x,-y+1/2,z'
loop_
_atom_site_label
_atom_site_type_symbol
_atom_site_fract_x
_atom_site_fract_y
_atom_site_fract_z
Ac1 Ac 0.031 0.250 0.145
La1 La 0.188 0.058 0.667
Cu1 Cu 0.104 0.750 0.405
```

Summary:
DFT formation energy   -0.25 eV per formula unit
DFT total energy   -4.58 eV/atom
Crystal system   orthorhombic
ΔE to the lowest computed polymorph   0.000 eV per formula unit